Record 1
The following is a DFT calculation (PBE) of an optimized crystal structure of PrGa2Pd. Values from VASP.

Values from the calculation:
E_tot, eV per atom: -4.742
Volume, Å³/atom: 21.040

Geometry as Quantum ESPRESSO input:
```
&SYSTEM
  ibrav = 0, nat = 4, ntyp = 3
/
ATOMIC_SPECIES
Pd 106.42 Pd.upf
Ga 69.72 Ga.upf
Pr 140.91 Pr.upf
ATOMIC_POSITIONS angstrom
Pd 0.0000 0.0000 0.0000
Ga -1.2614 -1.6553 1.5511
Ga -4.6234 -3.7552 6.3490
Pr -2.9424 -2.7052 3.9500
CELL_PARAMETERS angstrom
-3.2781 -2.7664 0.3529
0.3344 -3.4123 2.6015
-2.9411 0.7681 4.9456
```



Record 2
The following is a DFT calculation (PBE) of an optimized crystal structure of PrGa2Pd3. Values from VASP.

Values from the calculation:
E_tot, eV per atom: -5.184
Volume, Å³/atom: 18.639

Geometry as Quantum ESPRESSO input:
```
&SYSTEM
  ibrav = 0, nat = 18, ntyp = 3
/
ATOMIC_SPECIES
Pd 106.42 Pd.upf
Ga 69.72 Ga.upf
Pr 140.91 Pr.upf
ATOMIC_POSITIONS angstrom
Pd 2.0608 4.6210 4.6817
Pd 0.0000 0.7067 3.1913
Pd 2.0608 2.9120 8.8127
Pd 0.0000 5.2049 -1.2632
Pd 2.0608 0.0357 5.0475
Pd 0.0000 6.2002 6.1620
Pd 2.0608 7.4101 4.3582
Pd 2.0608 1.9167 1.3875
Pd 0.0000 3.4958 2.8678
Ga 2.0608 0.6595 7.6343
Ga 0.0000 7.4573 -0.0848
Ga 2.0608 2.2653 3.8783
Ga 2.0608 4.9562 7.2607
Ga 0.0000 5.8515 3.6712
Ga 0.0000 3.1607 0.2887
Pr 0.0000 2.6682 6.2841
Pr 2.0608 5.4486 1.2654
Pr 0.0000 0.0000 0.0000
CELL_PARAMETERS angstrom
4.1216 0.0000 0.0000
-2.0608 8.0454 -2.5455
0.0000 0.0714 10.0949
```



- The lowest volume belongs to which entry?
  PrGa2Pd3



Repeat the second record exactly.
The following is a DFT calculation (PBE) of an optimized crystal structure of PrGa2Pd3. Values from VASP.

Values from the calculation:
E_tot, eV per atom: -5.184
Volume, Å³/atom: 18.639

Geometry as Quantum ESPRESSO input:
```
&SYSTEM
  ibrav = 0, nat = 18, ntyp = 3
/
ATOMIC_SPECIES
Pd 106.42 Pd.upf
Ga 69.72 Ga.upf
Pr 140.91 Pr.upf
ATOMIC_POSITIONS angstrom
Pd 2.0608 4.6210 4.6817
Pd 0.0000 0.7067 3.1913
Pd 2.0608 2.9120 8.8127
Pd 0.0000 5.2049 -1.2632
Pd 2.0608 0.0357 5.0475
Pd 0.0000 6.2002 6.1620
Pd 2.0608 7.4101 4.3582
Pd 2.0608 1.9167 1.3875
Pd 0.0000 3.4958 2.8678
Ga 2.0608 0.6595 7.6343
Ga 0.0000 7.4573 -0.0848
Ga 2.0608 2.2653 3.8783
Ga 2.0608 4.9562 7.2607
Ga 0.0000 5.8515 3.6712
Ga 0.0000 3.1607 0.2887
Pr 0.0000 2.6682 6.2841
Pr 2.0608 5.4486 1.2654
Pr 0.0000 0.0000 0.0000
CELL_PARAMETERS angstrom
4.1216 0.0000 0.0000
-2.0608 8.0454 -2.5455
0.0000 0.0714 10.0949
```